Record 1
# LiIn3Hg5 (PBE, optimized geometry)
data_LiIn3Hg5
_chemical_formula_sum 'Li4 In12 Hg20'
_symmetry_space_group_name_H-M 'I 4/m c m'
_symmetry_Int_Tables_number 140
_symmetry_space_group_name_Hall '-I 4 2c'
_cell_length_a 7.713
_cell_length_b 7.713
_cell_length_c 15.933
_cell_angle_alpha 90.00
_cell_angle_beta 90.00
_cell_angle_gamma 90.00
loop_
_atom_site_label
_atom_site_type_symbol
_atom_site_fract_x
_atom_site_fract_y
_atom_site_fract_z
_atom_site_occupancy
Li1 Li 0.000 0.500 0.250 1
In1 In 0.000 0.000 0.250 1
In2 In 0.133 0.367 0.000 1
Hg1 Hg 0.000 0.000 0.000 1
Hg2 Hg 0.201 0.299 0.353 1
# Total magnetic moment (μB per cell): 0.000
# DOS at the Fermi energy (states/eV/atom): 0.32
# Energy above the most stable polymorph in this dataset (kcal/mol of atoms): 0.832
# Calculated density (g/cm³): 9.49

---

Record 2
# Li3In5Hg2 (PBE, optimized geometry)
data_Li3In5Hg2
_chemical_formula_sum 'Li6 In10 Hg4'
_symmetry_space_group_name_H-M 'P -1'
_symmetry_Int_Tables_number 2
_symmetry_space_group_name_Hall '-P 1'
_cell_length_a 7.490
_cell_length_b 8.175
_cell_length_c 8.664
_cell_angle_alpha 107.40
_cell_angle_beta 103.61
_cell_angle_gamma 106.88
loop_
_atom_site_label
_atom_site_type_symbol
_atom_site_fract_x
_atom_site_fract_y
_atom_site_fract_z
_atom_site_occupancy
Li1 Li 0.074 0.035 0.213 1
Li2 Li 0.204 0.724 0.726 1
Li3 Li 0.349 0.765 0.131 1
In1 In 0.038 0.683 0.313 1
In2 In 0.083 0.334 0.065 1
In3 In 0.225 0.066 0.636 1
In4 In 0.455 0.510 0.821 1
In5 In 0.496 0.181 0.437 1
Hg1 Hg 0.215 0.411 0.448 1
Hg2 Hg 0.328 0.061 0.016 1
# Total magnetic moment (μB per cell): 0.000
# DOS at the Fermi energy (states/eV/atom): 0.34
# Calculated density (g/cm³): 7.30
# Total DFT energy (no corrections) (eV for the cell shown): -43.38

---

Record 3
# Li5In3Hg12 (PBE, optimized geometry)
data_Li5In3Hg12
_chemical_formula_sum 'Li40 In24 Hg96'
_symmetry_space_group_name_H-M 'I a -3 d'
_symmetry_Int_Tables_number 230
_symmetry_space_group_name_Hall '-I 4bd 2c 3'
_cell_length_a 16.518
_cell_length_b 16.518
_cell_length_c 16.518
_cell_angle_alpha 90.00
_cell_angle_beta 90.00
_cell_angle_gamma 90.00
loop_
_atom_site_label
_atom_site_type_symbol
_atom_site_fract_x
_atom_site_fract_y
_atom_site_fract_z
_atom_site_occupancy
Li1 Li 0.000 0.000 0.000 1
Li2 Li 0.000 0.250 0.375 1
In1 In 0.000 0.250 0.125 1
Hg1 Hg 0.028 0.073 0.645 1
# Total magnetic moment (μB per cell): 0.000
# DOS at the Fermi energy (states/eV/atom): 0.56
# Calculated density (g/cm³): 8.21
# Total DFT energy (no corrections) (eV for the cell shown): -168.87

---

Record 4
# LiInHg (PBE, optimized geometry)
data_LiInHg
_chemical_formula_sum 'Li2 In2 Hg2'
_symmetry_space_group_name_H-M 'P 1'
_symmetry_Int_Tables_number 1
_symmetry_space_group_name_Hall 'P 1'
_cell_length_a 5.195
_cell_length_b 5.197
_cell_length_c 6.192
_cell_angle_alpha 68.93
_cell_angle_beta 66.07
_cell_angle_gamma 60.29
loop_
_atom_site_label
_atom_site_type_symbol
_atom_site_fract_x
_atom_site_fract_y
_atom_site_fract_z
_atom_site_occupancy
Li1 Li 0.000 0.000 0.000 1
Li2 Li 0.189 0.503 0.498 1
In1 In 0.664 0.662 0.009 1
In2 In 0.852 0.166 0.510 1
Hg1 Hg 0.328 0.346 0.990 1
Hg2 Hg 0.520 0.849 0.490 1
# Total magnetic moment (μB per cell): 0.000
# DOS at the Fermi energy (states/eV/atom): 0.32
# Energy above the most stable polymorph in this dataset (kcal/mol of atoms): 0.211
# Calculated density (g/cm³): 8.23

---

Record 5
# LiIn6Hg (PBE, optimized geometry)
data_LiIn6Hg
_chemical_formula_sum 'Li1 In6 Hg1'
_symmetry_space_group_name_H-M 'P 4/m m m'
_symmetry_Int_Tables_number 123
_symmetry_space_group_name_Hall '-P 4 2'
_cell_length_a 4.606
_cell_length_b 4.606
_cell_length_c 9.533
_cell_angle_alpha 90.00
_cell_angle_beta 90.00
_cell_angle_gamma 90.00
loop_
_atom_site_label
_atom_site_type_symbol
_atom_site_fract_x
_atom_site_fract_y
_atom_site_fract_z
_atom_site_occupancy
Li1 Li 0.000 0.000 0.000 1
In1 In 0.000 0.500 0.237 1
In2 In 0.500 0.500 0.000 1
In3 In 0.500 0.500 0.500 1
Hg1 Hg 0.000 0.000 0.500 1
# Total magnetic moment (μB per cell): 0.000
# DOS at the Fermi energy (states/eV/atom): 0.41
# Calculated density (g/cm³): 7.36
# Total DFT energy (no corrections) (eV for the cell shown): -19.03

---

Record 6
# Li4InHg15 (PBE, optimized geometry)
data_Li4InHg15
_chemical_formula_sum 'Li4 In1 Hg15'
_symmetry_space_group_name_H-M 'P m m m'
_symmetry_Int_Tables_number 47
_symmetry_space_group_name_Hall '-P 2 2'
_cell_length_a 4.424
_cell_length_b 4.875
_cell_length_c 21.843
_cell_angle_alpha 90.00
_cell_angle_beta 90.00
_cell_angle_gamma 90.00
loop_
_atom_site_label
_atom_site_type_symbol
_atom_site_fract_x
_atom_site_fract_y
_atom_site_fract_z
_atom_site_occupancy
Li1 Li 0.000 0.000 0.097 1
Li2 Li 0.000 0.000 0.289 1
In1 In 0.000 0.000 0.500 1
Hg1 Hg 0.000 0.500 0.000 1
Hg2 Hg 0.000 0.500 0.194 1
Hg3 Hg 0.000 0.500 0.393 1
Hg4 Hg 0.500 0.000 0.000 1
Hg5 Hg 0.500 0.000 0.193 1
Hg6 Hg 0.500 0.000 0.386 1
Hg7 Hg 0.500 0.500 0.097 1
Hg8 Hg 0.500 0.500 0.292 1
Hg9 Hg 0.500 0.500 0.500 1
# Total magnetic moment (μB per cell): 0.000
# DOS at the Fermi energy (states/eV/atom): 0.32
# Calculated density (g/cm³): 11.11
# Total DFT energy (no corrections) (eV for the cell shown): -17.52

---

Record 7
# Li5InHg8 (PBE, optimized geometry)
data_Li5InHg8
_chemical_formula_sum 'Li10 In2 Hg16'
_symmetry_space_group_name_H-M 'I -4'
_symmetry_Int_Tables_number 82
_symmetry_space_group_name_Hall 'I -4'
_cell_length_a 8.249
_cell_length_b 8.249
_cell_length_c 9.007
_cell_angle_alpha 90.00
_cell_angle_beta 90.00
_cell_angle_gamma 90.00
loop_
_atom_site_label
_atom_site_type_symbol
_atom_site_fract_x
_atom_site_fract_y
_atom_site_fract_z
_atom_site_occupancy
Li1 Li 0.000 0.000 0.000 1
Li2 Li 0.130 0.216 0.587 1
In1 In 0.000 0.500 0.250 1
Hg1 Hg 0.069 0.326 0.924 1
Hg2 Hg 0.103 0.157 0.271 1
# Total magnetic moment (μB per cell): 0.000
# DOS at the Fermi energy (states/eV/atom): 0.41
# Calculated density (g/cm³): 9.51
# Total DFT energy (no corrections) (eV for the cell shown): -35.56

---

Record 8
# Li3In2Hg3 (PBE, optimized geometry)
data_Li3In2Hg3
_chemical_formula_sum 'Li3 In2 Hg3'
_symmetry_space_group_name_H-M 'P -6 2 m'
_symmetry_Int_Tables_number 189
_symmetry_space_group_name_Hall 'P -6 -2'
_cell_length_a 7.8014
_cell_length_b 7.8014
_cell_length_c 3.2202
_cell_angle_alpha 90.00
_cell_angle_beta 90.00
_cell_angle_gamma 120.00
loop_
_atom_site_label
_atom_site_type_symbol
_atom_site_fract_x
_atom_site_fract_y
_atom_site_fract_z
_atom_site_occupancy
Li1 Li 0.0000 0.3510 0.0000 1
In1 In 0.3333 0.6667 0.5000 1
Hg1 Hg 0.0000 0.7576 0.5000 1
# Total magnetic moment (μB per cell): 0.000
# DOS at the Fermi energy (states/eV/atom): 0.29
# Calculated density (g/cm³): 8.34
# Total DFT energy (no corrections) (eV for the cell shown): -14.01

---

Record 9
# Li4InHg7 (PBE, optimized geometry)
data_Li4InHg7
_chemical_formula_sum 'Li8 In2 Hg14'
_symmetry_space_group_name_H-M 'C 1 2/m 1'
_symmetry_Int_Tables_number 12
_symmetry_space_group_name_Hall '-C 2y'
_cell_length_a 13.004
_cell_length_b 5.581
_cell_length_c 9.081
_cell_angle_alpha 90.00
_cell_angle_beta 123.19
_cell_angle_gamma 90.00
loop_
_atom_site_label
_atom_site_type_symbol
_atom_site_fract_x
_atom_site_fract_y
_atom_site_fract_z
_atom_site_occupancy
Li1 Li 0.038 0.000 0.217 1
Li2 Li 0.215 0.000 0.824 1
In1 In 0.000 0.500 0.500 1
Hg1 Hg 0.000 0.000 0.500 1
Hg2 Hg 0.054 0.500 0.888 1
Hg3 Hg 0.211 0.000 0.135 1
Hg4 Hg 0.217 0.500 0.424 1
# Total magnetic moment (μB per cell): 0.000
# DOS at the Fermi energy (states/eV/atom): 0.37
# Calculated density (g/cm³): 9.31
# Total DFT energy (no corrections) (eV for the cell shown): -28.87

---

Record 10
# LiIn3Hg3 (PBE, optimized geometry)
data_LiIn3Hg3
_chemical_formula_sum 'Li3 In9 Hg9'
_symmetry_space_group_name_H-M 'R 3 m'
_symmetry_Int_Tables_number 160
_symmetry_space_group_name_Hall 'R 3 -2"'
_cell_length_a 10.0185
_cell_length_b 10.0185
_cell_length_c 6.1357
_cell_angle_alpha 90.00
_cell_angle_beta 90.00
_cell_angle_gamma 120.00
loop_
_atom_site_label
_atom_site_type_symbol
_atom_site_fract_x
_atom_site_fract_y
_atom_site_fract_z
_atom_site_occupancy
Li1 Li 0.0000 0.0000 0.0000 1
In1 In 0.1050 0.5525 0.0670 1
Hg1 Hg 0.0340 0.5170 0.5292 1
# Total magnetic moment (μB per cell): 0.000
# DOS at the Fermi energy (states/eV/atom): 0.31
# Energy above the most stable polymorph in this dataset (kcal/mol of atoms): 0.000
# Calculated density (g/cm³): 8.90

---

Record 11
# Li2InHg (PBE, optimized geometry)
data_Li2InHg
_chemical_formula_sum 'Li2 In1 Hg1'
_symmetry_space_group_name_H-M 'P m m 2'
_symmetry_Int_Tables_number 25
_symmetry_space_group_name_Hall 'P 2 -2'
_cell_length_a 3.333
_cell_length_b 3.693
_cell_length_c 6.420
_cell_angle_alpha 90.00
_cell_angle_beta 90.00
_cell_angle_gamma 90.00
loop_
_atom_site_label
_atom_site_type_symbol
_atom_site_fract_x
_atom_site_fract_y
_atom_site_fract_z
_atom_site_occupancy
Li1 Li 0.000 0.000 0.000 1
Li2 Li 0.500 0.500 0.250 1
In1 In 0.500 0.500 0.761 1
Hg1 Hg 0.000 0.000 0.443 1
# Total magnetic moment (μB per cell): 0.000
# DOS at the Fermi energy (states/eV/atom): 0.16
# Calculated density (g/cm³): 6.92
# Total DFT energy (no corrections) (eV for the cell shown): -7.94

---

Record 12
# LiIn2Hg2 (PBE, optimized geometry)
data_LiIn2Hg2
_chemical_formula_sum 'Li2 In4 Hg4'
_symmetry_space_group_name_H-M 'P 4/m b m'
_symmetry_Int_Tables_number 127
_symmetry_space_group_name_Hall '-P 4 2ab'
_cell_length_a 7.739
_cell_length_b 7.739
_cell_length_c 4.218
_cell_angle_alpha 90.00
_cell_angle_beta 90.00
_cell_angle_gamma 90.00
loop_
_atom_site_label
_atom_site_type_symbol
_atom_site_fract_x
_atom_site_fract_y
_atom_site_fract_z
_atom_site_occupancy
Li1 Li 0.000 0.000 0.000 1
In1 In 0.160 0.340 0.500 1
Hg1 Hg 0.147 0.647 0.000 1
# Total magnetic moment (μB per cell): 0.000
# DOS at the Fermi energy (states/eV/atom): 0.45
# Energy above the most stable polymorph in this dataset (kcal/mol of atoms): 0.933
# Calculated density (g/cm³): 8.38